B5C | the Alexandria database | PBE-GGA | relaxed; calculated formation energy = 0.401 eV/atom; relative energy among the computed polymorphs = 0.2045 eV per atom; symmetry = Pmma, No. 51; total magnetic moment = 0.00 μB/f.u.
1.0
6.624 0.000 0.000
0.000 2.565 0.000
0.000 0.000 4.909
B C
10 2
Cartesian
0.660 0.000 0.599
0.668 1.282 1.844
1.656 0.000 4.007
2.644 1.282 1.844
2.652 0.000 0.599
3.973 0.000 4.310
3.980 1.282 3.065
4.968 0.000 0.902
5.956 1.282 3.065
5.964 0.000 4.310
1.656 1.282 3.108
4.968 1.282 1.800